(1)
The following is a DFT calculation (PBE) of a relaxed Ca4HgCl8 crystal.

Geometry as POSCAR:
```
Ca4HgCl8
1.0
9.936 -2.078 0.000
9.936 2.078 0.000
-9.305 0.000 10.145
Ca Hg Cl
4 1 8
Direct
0.000 0.000 0.000
0.188 0.188 0.703
0.515 0.515 0.347
0.703 0.703 0.050
0.852 0.852 0.525
0.139 0.139 0.460
0.189 0.189 0.167
0.206 0.206 0.921
0.496 0.496 0.129
0.514 0.514 0.883
0.564 0.564 0.590
0.811 0.811 0.802
0.892 0.892 0.248
```

Results
- Crystal system: monoclinic
- Theoretical density: 2.554 g/cm3
- Symmetry: Cm (8)
- Formation energy (no corrections): -50.73 kcal/mol of atoms
- Magnetic moment: 0.00 μB/f.u.
- DOS(E_F): 0.000 states/eV per atom

(2)
The following is a DFT calculation (PBE) of a relaxed CaHgCl2 crystal.

Geometry as POSCAR:
```
CaHgCl2
1.0
4.102 0.000 0.000
-2.051 3.553 0.000
0.000 0.000 22.024
Ca Hg Cl
2 2 4
Direct
0.000 0.000 0.000
0.000 0.000 0.500
0.333 0.667 0.250
0.667 0.333 0.750
0.333 0.667 0.064
0.333 0.667 0.436
0.667 0.333 0.564
0.667 0.333 0.936
```

Results
- Crystal system: hexagonal
- Distance to the lowest polymorph of the same formula: 0.2 meV per atom
- Theoretical density: 3.224 g/cm3
- Symmetry: P6_3/mmc (194)
- Formation energy (no corrections): -40.68 kcal/mol of atoms
- Magnetic moment: 0.00 μB/f.u.
- DOS(E_F): 0.000 states/eV per atom

(3)
The following is a DFT calculation (PBE) of a relaxed CaMgHgCl6 crystal.

Geometry as POSCAR:
```
CaMgHgCl6
1.0
6.632 0.000 0.000
-3.316 5.744 0.000
0.000 0.000 12.191
Ca Mg Hg Cl
2 2 2 12
Direct
0.000 0.000 0.000
0.000 0.000 0.500
0.333 0.667 0.250
0.667 0.333 0.750
0.333 0.667 0.750
0.667 0.333 0.250
0.021 0.357 0.130
0.021 0.663 0.370
0.337 0.357 0.370
0.337 0.979 0.130
0.357 0.021 0.630
0.357 0.337 0.870
0.643 0.663 0.130
0.643 0.979 0.370
0.663 0.021 0.870
0.663 0.643 0.630
0.979 0.337 0.630
0.979 0.643 0.870
```

Results
- Crystal system: trigonal
- Theoretical density: 3.416 g/cm3
- Symmetry: P-31c (163)
- Formation energy (no corrections): -36.28 kcal/mol of atoms
- Magnetic moment: 0.00 μB/f.u.
- DOS(E_F): 0.000 states/eV per atom